Ag2Mo: relaxed, GGA-PBE. Values from VASP.

Computed properties:
* ΔH_f (0 K): 841 meV per atom
* SG: Fd-3m
* mass density: 9.93 g cm⁻³
* crystal system: cubic
* ΔE to the lowest computed polymorph: 449 meV/atom

Structure (Quantum ESPRESSO input):
```
&SYSTEM
  ibrav = 0, nat = 6, ntyp = 2
/
ATOMIC_SPECIES
Ag 107.87 Ag.upf
Mo 95.94 Mo.upf
ATOMIC_POSITIONS crystal
Ag 0.125 0.625 0.125
Ag 0.125 0.125 0.125
Ag 0.125 0.125 0.625
Mo 0.500 0.500 0.500
Ag 0.625 0.125 0.125
Mo 0.750 0.750 0.750
CELL_PARAMETERS angstrom
-2.702 -3.487 2.907
-0.695 0.846 5.169
-4.787 1.251 1.852
```